# 1
Compound: HfAgSn
Source: Alexandria via LeMat-Bulk
Functional: PBE
Structure: optimized geometry

Cell and atoms, written as POSCAR:
```
HfAgSn
1.0
3.200 0.000 0.000
0.000 4.723 0.000
0.000 -2.361 4.090
Sn Hf Ag
1 1 1
direct
0.501 0.667 0.333 Sn
0.000 0.000 0.000 Hf
0.500 0.333 0.667 Ag
```

Summary:
energy of formation from the pure elements	-109.0	meV per atom
uncorrected energy	-5.7115	eV/atom
M_tot	0.00	μB per formula unit
calculated volume	20.61	A^3/atom

# 2
Compound: ReN2
Source: Alexandria via LeMat-Bulk
Functional: PBE
Structure: optimized geometry

Cell and atoms, written as POSCAR:
```
ReN2
1.0
4.398 0.000 0.000
0.000 4.398 0.000
0.000 0.000 2.664
Re N
2 4
direct
0.500 0.500 0.500 Re
0.000 0.000 0.500 Re
0.115 0.385 0.000 N
0.885 0.615 0.000 N
0.615 0.115 0.000 N
0.385 0.885 0.000 N
```

Summary:
uncorrected energy	-9.0504	eV/atom
M_tot	0.00	μB per formula unit
formation energy from raw total energies	0.649	eV per atom
calculated volume	8.59	A^3/atom